BaCuSN2 | GGA-PBE | relaxed

Cell: 5.171 5.171 6.152 Å, 90.00 90.00 90.00°
Fractional positions:
Ba1 0.000 0.000 0.000
Cu1 0.500 0.500 0.500
S1 0.000 0.000 0.500
N1 0.000 0.500 0.000
N2 0.500 0.000 0.000

Results
Its spin magnetization is 5.02 μB per formula unit. As for the formation energy from raw total energies: 1.85 eV per atom. Its energy relative to the lowest polymorph listed for this composition is 1.241 eV/atom.



Ba2CuSN | GGA-PBE | relaxed

Cell: 5.633 5.633 3.781 Å, 90.00 90.00 90.00°
Fractional positions:
Ba1 0.000 0.500 0.000
Ba2 0.500 0.000 0.000
Cu1 0.000 0.000 0.500
S1 0.500 0.500 0.500
N1 0.000 0.000 0.000

Results
Its spin magnetization is 0.00 μB per formula unit. As for the formation energy from raw total energies: -0.90 eV per atom.



BaCuSN2 | GGA-PBE | relaxed

Cell: 4.261 4.261 4.739 Å, 90.00 90.00 90.00°
Fractional positions:
Ba1 0.000 0.000 0.000
Cu1 0.500 0.500 0.500
S1 0.500 0.500 0.000
N1 0.000 0.500 0.500
N2 0.500 0.000 0.500

Results
Its spin magnetization is 3.11 μB per formula unit. As for the formation energy from raw total energies: 0.61 eV per atom. Its energy relative to the lowest polymorph listed for this composition is 0.000 eV/atom.



Ba2CuSbN | GGA-PBE | relaxed

Cell: 6.051 6.051 3.708 Å, 90.00 90.00 90.00°
Fractional positions:
Ba1 0.000 0.500 0.000
Ba2 0.500 0.000 0.000
Cu1 0.000 0.000 0.500
Sb1 0.500 0.500 0.500
N1 0.000 0.000 0.000

Results
Its spin magnetization is 0.00 μB per formula unit. As for the formation energy from raw total energies: -0.52 eV per atom.



BaCuSe2N | GGA-PBE | relaxed

Cell: 5.251 5.251 3.828 Å, 90.00 90.00 90.00°
Fractional positions:
Ba1 0.000 0.000 0.000
Cu1 0.500 0.500 0.500
Se1 0.000 0.500 0.500
Se2 0.500 0.000 0.500
N1 0.500 0.500 0.000

Results
Its spin magnetization is 1.57 μB per formula unit. As for the formation energy from raw total energies: -0.07 eV per atom. Its energy relative to the lowest polymorph listed for this composition is 0.000 eV/atom.



BaCuSe2N | GGA-PBE | relaxed

Cell: 6.194 6.194 5.197 Å, 90.00 90.00 90.00°
Fractional positions:
Ba1 0.000 0.000 0.000
Cu1 0.500 0.500 0.500
Se1 0.000 0.500 0.000
Se2 0.500 0.000 0.000
N1 0.000 0.000 0.500

Results
Its spin magnetization is 3.99 μB per formula unit. As for the formation energy from raw total energies: 1.20 eV per atom. Its energy relative to the lowest polymorph listed for this composition is 1.277 eV/atom.



Ba2CuSnN | GGA-PBE | relaxed

Cell: 6.066 6.066 3.698 Å, 90.00 90.00 90.00°
Fractional positions:
Ba1 0.000 0.500 0.000
Ba2 0.500 0.000 0.000
Cu1 0.000 0.000 0.500
Sn1 0.500 0.500 0.500
N1 0.000 0.000 0.000

Results
Its spin magnetization is 0.00 μB per formula unit. As for the formation energy from raw total energies: -0.32 eV per atom.



BaSr2CuN2 | GGA-PBE | relaxed

Cell: 5.920 11.664 4.070 Å, 90.00 90.00 90.00°
Fractional positions:
Ba1 0.000 0.000 0.000
Ba2 0.500 0.500 0.500
Sr1 0.006 0.292 0.500
Sr2 0.494 0.792 0.000
Sr3 0.506 0.208 0.000
Sr4 0.994 0.708 0.500
Cu1 0.000 0.500 0.000
Cu2 0.500 0.000 0.500
N1 0.214 0.376 0.000
N2 0.286 0.876 0.500
N3 0.714 0.124 0.500
N4 0.786 0.624 0.000

Results
Its spin magnetization is 0.05 μB per formula unit. As for the formation energy from raw total energies: -0.34 eV per atom.



BaSr2CuN | GGA-PBE | relaxed

Cell: 5.191 5.191 5.655 Å, 90.00 90.00 90.00°
Fractional positions:
Ba1 0.000 0.000 0.000
Sr1 0.000 0.500 0.500
Sr2 0.500 0.000 0.500
Cu1 0.500 0.500 0.000
N1 0.000 0.000 0.500

Results
Its spin magnetization is 0.00 μB per formula unit. As for the formation energy from raw total energies: -0.17 eV per atom.



Ba2CuTcN | GGA-PBE | relaxed

Cell: 5.788 5.788 3.869 Å, 90.00 90.00 90.00°
Fractional positions:
Ba1 0.000 0.500 0.000
Ba2 0.500 0.000 0.000
Cu1 0.000 0.000 0.500
Tc1 0.500 0.500 0.500
N1 0.500 0.500 0.000

Results
Its spin magnetization is 0.56 μB per formula unit. As for the formation energy from raw total energies: -0.03 eV per atom.



BaCuTeN2 | GGA-PBE | relaxed

Cell: 4.561 4.561 5.115 Å, 90.00 90.00 90.00°
Fractional positions:
Ba1 0.000 0.000 0.000
Cu1 0.500 0.500 0.500
Te1 0.500 0.500 0.000
N1 0.000 0.500 0.500
N2 0.500 0.000 0.500

Results
Its spin magnetization is 3.25 μB per formula unit. As for the formation energy from raw total energies: 0.95 eV per atom. Its energy relative to the lowest polymorph listed for this composition is 0.000 eV/atom.



BaCuTeN2 | GGA-PBE | relaxed

Cell: 4.532 4.532 7.298 Å, 90.00 90.00 90.00°
Fractional positions:
Ba1 0.000 0.000 0.000
Cu1 0.500 0.500 0.500
Te1 0.000 0.000 0.500
N1 0.000 0.500 0.000
N2 0.500 0.000 0.000

Results
Its spin magnetization is 2.66 μB per formula unit. As for the formation energy from raw total energies: 1.75 eV per atom. Its energy relative to the lowest polymorph listed for this composition is 0.803 eV/atom.



BaTh2CuN4 | GGA-PBE | relaxed

Cell: 6.409 6.409 12.179 Å, 90.00 90.00 146.25°
Fractional positions:
Ba1 0.101 0.899 0.750
Ba2 0.899 0.101 0.250
Th1 0.367 0.633 0.556
Th2 0.367 0.633 0.944
Th3 0.633 0.367 0.056
Th4 0.633 0.367 0.444
Cu1 0.173 0.827 0.250
Cu2 0.827 0.173 0.750
N1 0.000 0.000 0.000
N2 0.000 0.000 0.500
N3 0.254 0.746 0.105
N4 0.254 0.746 0.395
N5 0.410 0.590 0.750
N6 0.590 0.410 0.250
N7 0.746 0.254 0.605
N8 0.746 0.254 0.895

Results
Its spin magnetization is 0.01 μB per formula unit. As for the formation energy from raw total energies: -1.00 eV per atom.



Ba2TlCuN | GGA-PBE | relaxed

Cell: 6.014 6.014 3.756 Å, 90.00 90.00 90.00°
Fractional positions:
Ba1 0.000 0.500 0.000
Ba2 0.500 0.000 0.000
Tl1 0.000 0.000 0.500
Cu1 0.500 0.500 0.500
N1 0.500 0.500 0.000

Results
Its spin magnetization is 0.16 μB per formula unit. As for the formation energy from raw total energies: -0.21 eV per atom.



Ba2ZnCuN | GGA-PBE | relaxed

Cell: 5.820 5.820 3.762 Å, 90.00 90.00 90.00°
Fractional positions:
Ba1 0.000 0.500 0.000
Ba2 0.500 0.000 0.000
Zn1 0.000 0.000 0.500
Cu1 0.500 0.500 0.500
N1 0.500 0.500 0.000

Results
Its spin magnetization is 0.00 μB per formula unit. As for the formation energy from raw total energies: -0.16 eV per atom. Its energy relative to the lowest polymorph listed for this composition is 0.000 eV/atom.



Ba2ZnCuN | GGA-PBE | relaxed

Cell: 5.774 5.774 3.891 Å, 90.00 90.00 90.00°
Fractional positions:
Ba1 0.000 0.500 0.000
Ba2 0.500 0.000 0.000
Zn1 0.000 0.000 0.500
Cu1 0.500 0.500 0.500
N1 0.000 0.000 0.000

Results
Its spin magnetization is 0.00 μB per formula unit. As for the formation energy from raw total energies: -0.08 eV per atom. Its energy relative to the lowest polymorph listed for this composition is 0.078 eV/atom.



BaZr2CuN4 | GGA-PBE | relaxed

Cell: 5.973 5.973 11.541 Å, 90.00 90.00 147.02°
Fractional positions:
Ba1 0.103 0.897 0.750
Ba2 0.897 0.103 0.250
Zr1 0.365 0.635 0.552
Zr2 0.365 0.635 0.948
Zr3 0.635 0.365 0.052
Zr4 0.635 0.365 0.448
Cu1 0.166 0.834 0.250
Cu2 0.834 0.166 0.750
N1 0.000 0.000 0.000
N2 0.000 0.000 0.500
N3 0.256 0.744 0.101
N4 0.256 0.744 0.399
N5 0.415 0.585 0.750
N6 0.585 0.415 0.250
N7 0.744 0.256 0.601
N8 0.744 0.256 0.899

Results
Its spin magnetization is 0.00 μB per formula unit. As for the formation energy from raw total energies: -0.93 eV per atom.



Ba4Na2Cu | GGA-PBE | relaxed

Cell: 6.175 6.175 20.016 Å, 90.00 90.00 90.00°
Fractional positions:
Ba1 0.000 0.000 0.168
Ba2 0.000 0.000 0.832
Ba3 0.000 0.500 0.000
Ba4 0.000 0.500 0.500
Ba5 0.500 0.000 0.000
Ba6 0.500 0.000 0.500
Ba7 0.500 0.500 0.332
Ba8 0.500 0.500 0.668
Na1 0.000 0.000 0.368
Na2 0.000 0.000 0.632
Na3 0.500 0.500 0.132
Na4 0.500 0.500 0.868
Cu1 0.000 0.000 0.000
Cu2 0.500 0.500 0.500

Results
Its spin magnetization is 0.01 μB per formula unit. As for the energy of formation from the pure elements: 0.07 eV per atom.



BaNa2Cu2 | GGA-PBE | relaxed

Cell: 4.548 4.548 13.540 Å, 90.00 90.00 90.00°
Fractional positions:
Ba1 0.000 0.000 0.000
Ba2 0.500 0.500 0.500
Na1 0.000 0.500 0.250
Na2 0.000 0.500 0.750
Na3 0.500 0.000 0.250
Na4 0.500 0.000 0.750
Cu1 0.000 0.000 0.411
Cu2 0.000 0.000 0.589
Cu3 0.500 0.500 0.089
Cu4 0.500 0.500 0.911

Results
Its spin magnetization is 0.00 μB per formula unit. Its energy relative to the lowest polymorph listed for this composition is 0.000 eV/atom. As for the energy of formation from the pure elements: 0.09 eV per atom.



Ba3NaCu | GGA-PBE | relaxed

Cell: 6.394 6.394 6.394 Å, 90.00 90.00 90.00°
Fractional positions:
Ba1 0.000 0.000 0.500
Ba2 0.000 0.500 0.000
Ba3 0.500 0.000 0.000
Na1 0.500 0.500 0.500
Cu1 0.000 0.000 0.000

Results
Its spin magnetization is 0.00 μB per formula unit. Its energy relative to the lowest polymorph listed for this composition is 0.019 eV/atom. As for the energy of formation from the pure elements: 0.02 eV per atom.